# 1
A plane-wave DFT calculation with GGA-PBE was carried out for crystalline SmPO4 at its relaxed geometry.

```
data_SmPO4
_chemical_formula_sum 'Sm6 P6 O24'
_cell_length_a 12.0936
_cell_length_b 6.9878
_cell_length_c 6.2996
_cell_angle_alpha 90.00
_cell_angle_beta 90.11
_cell_angle_gamma 90.00
_symmetry_space_group_name_H-M 'C 1 2 1'
_symmetry_Int_Tables_number 5
loop_
_symmetry_equiv_pos_as_xyz
'x,y,z'
'-x,y,-z'
'x+1/2,y+1/2,z'
'-x+1/2,y+1/2,-z'
loop_
_atom_site_label
_atom_site_fract_x
_atom_site_fract_y
_atom_site_fract_z
Sm1 0.0000 0.0000 0.0000
Sm2 0.2471 0.7437 0.6668
P1 0.0000 0.0076 0.5000
P2 0.2456 0.7409 0.1667
O1 0.0689 0.1331 0.3485
O2 0.0689 0.8805 0.6510
O3 0.1482 0.7793 0.0138
O4 0.1562 0.2002 0.9826
O5 0.2170 0.5759 0.3202
O6 0.2264 0.4093 0.6840
```

- DFT total energy (eV/atom) = -7.980



# 2
A plane-wave DFT calculation with GGA-PBE was carried out for crystalline SrCdSO at its relaxed geometry.

```
data_SrCdSO
_chemical_formula_sum 'Sr4 Cd4 S4 O4'
_cell_length_a 6.6245
_cell_length_b 6.8562
_cell_length_c 7.2914
_cell_angle_alpha 90.00
_cell_angle_beta 90.00
_cell_angle_gamma 90.00
_symmetry_space_group_name_H-M 'P 21 21 21'
_symmetry_Int_Tables_number 19
loop_
_symmetry_equiv_pos_as_xyz
'x,y,z'
'-x+1/2,-y,z+1/2'
'x+1/2,-y+1/2,-z'
'-x,y+1/2,-z+1/2'
loop_
_atom_site_label
_atom_site_fract_x
_atom_site_fract_y
_atom_site_fract_z
Sr1 0.1964 0.0914 0.4504
Cd1 0.1542 0.6103 0.3753
S1 0.0033 0.7606 0.6689
O1 0.0307 0.8524 0.1734
```

- DFT total energy (eV/atom) = -4.487



# 3
A plane-wave DFT calculation with GGA-PBE was carried out for crystalline Fe2Mo3 at its relaxed geometry.

```
data_Fe2Mo3
_chemical_formula_sum 'Fe12 Mo18'
_cell_length_a 6.1825
_cell_length_b 6.1825
_cell_length_c 12.9598
_cell_angle_alpha 90.00
_cell_angle_beta 90.00
_cell_angle_gamma 120.00
_symmetry_space_group_name_H-M 'R -3 c'
_symmetry_Int_Tables_number 167
_symmetry_space_group_name_Hall '-R 3 2"c'
loop_
_atom_site_label
_atom_site_fract_x
_atom_site_fract_y
_atom_site_fract_z
Fe1 0.0000 0.0000 0.0880
Mo1 0.0000 0.2606 0.2500
```

- ΔE_f (eV per formula unit) = 2.249
- DFT total energy (eV/atom) = -9.383



# 4
A plane-wave DFT calculation with GGA-PBE was carried out for crystalline Er3Zr2ScOsS2 at its relaxed geometry.

```
data_Er3Zr2ScOsS2
_chemical_formula_sum 'Er6 Zr4 Sc2 Os2 S4'
_cell_length_a 3.7497
_cell_length_b 13.1483
_cell_length_c 7.6222
_cell_angle_alpha 90.00
_cell_angle_beta 90.00
_cell_angle_gamma 90.00
_symmetry_space_group_name_H-M 'A m m 2'
_symmetry_Int_Tables_number 38
loop_
_symmetry_equiv_pos_as_xyz
'x,y,z'
'-x,-y,z'
'-x,y,z'
'x,-y,z'
'x,y+1/2,z+1/2'
'-x,-y+1/2,z+1/2'
'-x,y+1/2,z+1/2'
'x,-y+1/2,z+1/2'
loop_
_atom_site_label
_atom_site_fract_x
_atom_site_fract_y
_atom_site_fract_z
Er1 0.0000 0.0000 0.0000
Er2 0.0000 0.2062 0.6135
Zr1 0.5000 0.1248 0.2845
Sc1 0.5000 0.0000 0.6638
Os1 0.0000 0.0000 0.4144
S1 0.5000 0.1658 0.9105
```

- DFT total energy (eV/atom) = -7.120



# 5
A plane-wave DFT calculation with GGA-PBE was carried out for crystalline Sm6Cd23Pb at its relaxed geometry.

```
data_Sm6Cd23Pb
_chemical_formula_sum 'Sm24 Cd92 Pb4'
_cell_length_a 14.1294
_cell_length_b 14.1294
_cell_length_c 14.1294
_cell_angle_alpha 90.00
_cell_angle_beta 90.00
_cell_angle_gamma 90.00
_symmetry_space_group_name_H-M 'F m -3 m'
_symmetry_Int_Tables_number 225
_symmetry_space_group_name_Hall '-F 4 2 3'
loop_
_atom_site_label
_atom_site_fract_x
_atom_site_fract_y
_atom_site_fract_z
Sm1 0.0000 0.0000 0.2272
Cd1 0.0000 0.0000 0.5000
Cd2 0.0000 0.2500 0.2500
Cd3 0.1261 0.1261 0.3739
Cd4 0.1531 0.1531 0.1531
Pb1 0.0000 0.0000 0.0000
```

- DFT total energy (eV/atom) = -2.047



# 6
A plane-wave DFT calculation with GGA-PBE was carried out for crystalline GdMgZn at its relaxed geometry.

```
data_GdMgZn
_chemical_formula_sum 'Gd4 Mg4 Zn4'
_cell_length_a 6.1519
_cell_length_b 6.3192
_cell_length_c 8.1403
_cell_angle_alpha 90.30
_cell_angle_beta 93.08
_cell_angle_gamma 117.60
_symmetry_space_group_name_H-M 'P 1'
_symmetry_Int_Tables_number 1
loop_
_symmetry_equiv_pos_as_xyz
'x,y,z'
loop_
_atom_site_label
_atom_site_fract_x
_atom_site_fract_y
_atom_site_fract_z
Gd1 0.0000 0.0000 0.0000
Gd2 0.0751 0.4819 0.7216
Gd3 0.4393 0.6079 0.1537
Gd4 0.6397 0.8996 0.5716
Mg1 0.0574 0.7763 0.3753
Mg2 0.5576 0.4411 0.8211
Mg3 0.5675 0.3634 0.4667
Mg4 0.8598 0.4169 0.1027
Zn1 0.0526 0.2561 0.3720
Zn2 0.1811 0.0320 0.6637
Zn3 0.4452 0.0685 0.2055
Zn4 0.4950 0.9846 0.8965
```

- DFT total energy (eV/atom) = -2.617



# 7
A plane-wave DFT calculation with GGA-PBE was carried out for crystalline RbNb3Sn5 at its relaxed geometry.

```
data_RbNb3Sn5
_chemical_formula_sum 'Rb1 Nb3 Sn5'
_cell_length_a 5.7662
_cell_length_b 5.7662
_cell_length_c 7.6556
_cell_angle_alpha 90.00
_cell_angle_beta 90.00
_cell_angle_gamma 120.00
_symmetry_space_group_name_H-M 'P 6/m m m'
_symmetry_Int_Tables_number 191
_symmetry_space_group_name_Hall '-P 6 2'
loop_
_atom_site_label
_atom_site_fract_x
_atom_site_fract_y
_atom_site_fract_z
Rb1 0.0000 0.0000 0.0000
Nb1 0.0000 0.5000 0.5000
Sn1 0.0000 0.0000 0.5000
Sn2 0.3333 0.6667 0.1917
```

- DFT total energy (eV/atom) = -5.781



# 8
A plane-wave DFT calculation with GGA-PBE was carried out for crystalline Dy2YCd3Au3 at its relaxed geometry.

```
data_Dy2YCd3Au3
_chemical_formula_sum 'Dy4 Y2 Cd6 Au6'
_cell_length_a 3.9075
_cell_length_b 13.5207
_cell_length_c 7.7930
_cell_angle_alpha 90.00
_cell_angle_beta 90.00
_cell_angle_gamma 90.00
_symmetry_space_group_name_H-M 'A m m 2'
_symmetry_Int_Tables_number 38
loop_
_symmetry_equiv_pos_as_xyz
'x,y,z'
'-x,-y,z'
'-x,y,z'
'x,-y,z'
'x,y+1/2,z+1/2'
'-x,-y+1/2,z+1/2'
'-x,y+1/2,z+1/2'
'x,-y+1/2,z+1/2'
loop_
_atom_site_label
_atom_site_fract_x
_atom_site_fract_y
_atom_site_fract_z
Dy1 0.0000 0.2016 0.0000
Y1 0.0000 0.0000 0.6045
Cd1 0.5000 0.0000 0.9388
Cd2 0.5000 0.1310 0.3326
Au1 0.0000 0.0000 0.2008
Au2 0.5000 0.1674 0.7018
```

- ΔE_f (eV per formula unit) = -6.026
- DFT total energy (eV/atom) = -3.798



# 9
A plane-wave DFT calculation with GGA-PBE was carried out for crystalline RbAg3PtSe4 at its relaxed geometry.

```
data_RbAg3PtSe4
_chemical_formula_sum 'Rb1 Ag3 Pt1 Se4'
_cell_length_a 6.4766
_cell_length_b 6.4766
_cell_length_c 6.4766
_cell_angle_alpha 90.00
_cell_angle_beta 90.00
_cell_angle_gamma 90.00
_symmetry_space_group_name_H-M 'P -4 3 m'
_symmetry_Int_Tables_number 215
_symmetry_space_group_name_Hall 'P -4 2 3'
loop_
_atom_site_label
_atom_site_fract_x
_atom_site_fract_y
_atom_site_fract_z
Rb1 0.0000 0.0000 0.0000
Ag1 0.0000 0.5000 0.5000
Pt1 0.5000 0.5000 0.5000
Se1 0.2812 0.2812 0.2812
```

- DFT total energy (eV/atom) = -3.392



# 10
A plane-wave DFT calculation with GGA-PBE was carried out for crystalline GdHo2Fe3Ni6 at its relaxed geometry.

```
data_GdHo2Fe3Ni6
_chemical_formula_sum 'Gd3 Ho6 Fe9 Ni18'
_cell_length_a 5.0110
_cell_length_b 5.0110
_cell_length_c 24.0655
_cell_angle_alpha 90.00
_cell_angle_beta 90.00
_cell_angle_gamma 120.00
_symmetry_space_group_name_H-M 'R -3 m'
_symmetry_Int_Tables_number 166
_symmetry_space_group_name_Hall '-R 3 2"'
loop_
_atom_site_label
_atom_site_fract_x
_atom_site_fract_y
_atom_site_fract_z
Gd1 0.0000 0.0000 0.0000
Ho1 0.0000 0.0000 0.1391
Fe1 0.0000 0.0000 0.3334
Fe2 0.0000 0.0000 0.5000
Ni1 0.0011 0.5006 0.9171
```

- ΔE_f (eV per formula unit) = -3.481
- DFT total energy (eV/atom) = -6.302



# 11
A plane-wave DFT calculation with GGA-PBE was carried out for crystalline Hg2C at its relaxed geometry.

```
data_Hg2C
_chemical_formula_sum 'Hg8 C4'
_cell_length_a 12.2958
_cell_length_b 3.4305
_cell_length_c 5.4398
_cell_angle_alpha 90.00
_cell_angle_beta 90.00
_cell_angle_gamma 90.00
_symmetry_space_group_name_H-M 'P n m a'
_symmetry_Int_Tables_number 62
loop_
_symmetry_equiv_pos_as_xyz
'x,y,z'
'-x,-y,-z'
'-x+1/2,-y,z+1/2'
'x+1/2,y,-z+1/2'
'x+1/2,-y+1/2,-z+1/2'
'-x+1/2,y+1/2,z+1/2'
'-x,y+1/2,-z'
'x,-y+1/2,z'
loop_
_atom_site_label
_atom_site_fract_x
_atom_site_fract_y
_atom_site_fract_z
Hg1 0.0260 0.2500 0.2254
Hg2 0.2211 0.2500 0.6812
C1 0.1342 0.7500 0.4382
```

- energy above the most stable polymorph in this dataset (kJ/mol of atoms) = 57.4
- DFT total energy (eV/atom) = -1.792



# 12
A plane-wave DFT calculation with GGA-PBE was carried out for crystalline Cs2TmSe2 at its relaxed geometry.

```
data_Cs2TmSe2
_chemical_formula_sum 'Cs8 Tm4 Se8'
_cell_length_a 8.0999
_cell_length_b 14.2231
_cell_length_c 7.5248
_cell_angle_alpha 90.00
_cell_angle_beta 90.00
_cell_angle_gamma 90.00
_symmetry_space_group_name_H-M 'I b a m'
_symmetry_Int_Tables_number 72
_symmetry_space_group_name_Hall '-I 2 2c'
loop_
_atom_site_label
_atom_site_fract_x
_atom_site_fract_y
_atom_site_fract_z
Cs1 0.1328 0.1537 0.0000
Tm1 0.0000 0.5000 0.2500
Se1 0.1854 0.4056 0.0000
```

- DFT total energy (eV/atom) = -3.856